The following is a DFT calculation (PBE) of a geometry-optimized HfCdCuSe2 structure. Values from VASP.

Structure (Quantum ESPRESSO input):
```
&SYSTEM
  ibrav = 0, nat = 5, ntyp = 4
/
ATOMIC_SPECIES
Hf 178.49 Hf.upf
Cd 112.41 Cd.upf
Cu 63.55 Cu.upf
Se 78.96 Se.upf
CELL_PARAMETERS angstrom
4.781 0.000 0.000
0.000 4.781 0.000
0.000 0.000 4.825
ATOMIC_POSITIONS angstrom
Hf 0.000 0.000 0.000
Cd 2.391 2.391 0.000
Cu 2.391 2.391 2.412
Se 0.000 2.391 2.412
Se 2.391 0.000 2.412
```

Computed properties:
DFT total energy, eV/cell: -20.0
V, Å³/cell: 110
Magnetic moment, μB/cell: 0.0

***

The following is a DFT calculation (PBE) of a geometry-optimized SrHf2CdCu structure. Values from VASP.

Structure (Quantum ESPRESSO input):
```
&SYSTEM
  ibrav = 0, nat = 5, ntyp = 4
/
ATOMIC_SPECIES
Sr 87.62 Sr.upf
Hf 178.49 Hf.upf
Cd 112.41 Cd.upf
Cu 63.55 Cu.upf
CELL_PARAMETERS angstrom
5.246 0.000 0.000
0.000 5.246 0.000
0.000 0.000 5.955
ATOMIC_POSITIONS angstrom
Sr 0.000 0.000 0.000
Hf 0.000 2.623 2.978
Hf 2.623 0.000 2.978
Cd 0.000 0.000 2.978
Cu 2.623 2.623 0.000
```

Computed properties:
DFT total energy, eV/cell: -20.2
V, Å³/cell: 164
Magnetic moment, μB/cell: 0.0
E_form, eV/atom: 1.28

***

The following is a DFT calculation (PBE) of a geometry-optimized HfZnCdCu2 structure. Values from VASP.

Structure (Quantum ESPRESSO input):
```
&SYSTEM
  ibrav = 0, nat = 5, ntyp = 4
/
ATOMIC_SPECIES
Hf 178.49 Hf.upf
Zn 65.41 Zn.upf
Cd 112.41 Cd.upf
Cu 63.55 Cu.upf
CELL_PARAMETERS angstrom
4.708 0.000 0.000
0.000 4.708 0.000
0.000 0.000 5.312
ATOMIC_POSITIONS angstrom
Hf 0.000 0.000 0.000
Zn 2.354 2.354 0.000
Cd 0.000 0.000 2.656
Cu 0.000 2.354 2.656
Cu 2.354 0.000 2.656
```

Computed properties:
DFT total energy, eV/cell: -14.9
V, Å³/cell: 118
Magnetic moment, μB/cell: 0.0
E_form, eV/atom: 1.10

***

The following is a DFT calculation (PBE) of a geometry-optimized CdCuHg2 structure. Values from VASP.

Structure (Quantum ESPRESSO input):
```
&SYSTEM
  ibrav = 0, nat = 4, ntyp = 3
/
ATOMIC_SPECIES
Cd 112.41 Cd.upf
Cu 63.55 Cu.upf
Hg 200.59 Hg.upf
CELL_PARAMETERS angstrom
3.642 0.000 0.000
0.000 3.755 0.000
0.000 0.000 6.011
ATOMIC_POSITIONS angstrom
Cd 0.000 0.000 0.000
Cu 1.821 1.878 1.390
Hg 0.000 0.000 2.798
Hg 1.821 1.878 4.468
```

Computed properties:
DFT total energy, eV/cell: -5.0
V, Å³/cell: 82
Magnetic moment, μB/cell: 0.0
E_form, eV/atom: 0.16

***

The following is a DFT calculation (PBE) of a geometry-optimized Cd3Cu5Hg12 structure. Values from VASP.

Structure (Quantum ESPRESSO input):
```
&SYSTEM
  ibrav = 0, nat = 80, ntyp = 3
/
ATOMIC_SPECIES
Cd 112.41 Cd.upf
Cu 63.55 Cu.upf
Hg 200.59 Hg.upf
CELL_PARAMETERS angstrom
-8.153 8.153 8.153
8.153 -8.153 8.153
8.153 8.153 -8.153
ATOMIC_POSITIONS angstrom
Cd 4.076 2.038 0.000
Cd 8.153 4.076 -2.038
Cd 2.038 0.000 4.076
Cd 10.191 0.000 4.076
Cd 0.000 4.076 2.038
Cd 4.076 -2.038 8.153
Cd 4.076 10.191 0.000
Cd 8.153 4.076 6.114
Cd -2.038 8.153 4.076
Cd 6.114 8.153 4.076
Cd 0.000 4.076 10.191
Cd 4.076 6.114 8.153
Cu 0.000 0.000 0.000
Cu 4.076 4.076 -4.076
Cu 4.076 -4.076 4.076
Cu 8.153 0.000 0.000
Cu 12.229 2.038 0.000
Cu 8.153 -4.076 6.114
Cu 6.114 8.153 -4.076
Cu 6.114 0.000 4.076
Cu 4.076 6.114 0.000
Cu 8.153 4.076 2.038
Cu -4.076 4.076 4.076
Cu 0.000 8.153 0.000
Cu 0.000 0.000 8.153
Cu 4.076 4.076 4.076
Cu 0.000 4.076 6.114
Cu 4.076 2.038 8.153
Cu 2.038 8.153 4.076
Cu 2.038 0.000 12.229
Cu 0.000 12.229 2.038
Cu -4.076 6.114 8.153
Hg 2.390 -0.440 1.136
Hg 9.839 5.212 -4.516
Hg 7.713 -1.136 2.390
Hg 12.668 -1.686 2.940
Hg 10.543 0.440 1.136
Hg 9.839 -2.940 4.516
Hg 1.136 2.390 -0.440
Hg 11.093 3.637 -1.686
Hg 5.212 4.516 -1.686
Hg 7.016 2.390 0.440
Hg -0.440 1.136 2.390
Hg 4.516 -1.686 5.212
Hg 7.713 7.016 -2.390
Hg 4.516 1.686 2.940
Hg 7.016 -2.390 7.713
Hg 5.212 -4.516 9.839
Hg 2.940 4.516 1.686
Hg 9.289 5.762 0.440
Hg 2.390 7.713 -1.136
Hg 9.839 2.940 3.637
Hg 4.516 9.839 -2.940
Hg 7.713 1.136 5.762
Hg 1.686 2.940 4.516
Hg 2.390 0.440 7.016
Hg 5.762 7.713 1.136
Hg 6.466 5.212 3.637
Hg 0.440 7.016 2.390
Hg 3.637 -1.686 11.093
Hg -1.686 5.212 4.516
Hg 5.762 0.440 9.289
Hg -1.136 2.390 7.713
Hg 5.212 3.637 6.466
Hg 2.940 12.668 -1.686
Hg 1.136 10.543 0.440
Hg 3.637 6.466 5.212
Hg 0.440 1.136 10.543
Hg 3.637 9.839 2.940
Hg 8.592 7.016 5.762
Hg 1.136 5.762 7.713
Hg 2.940 3.637 9.839
Hg -2.940 4.516 9.839
Hg 7.016 5.762 8.592
Hg -1.686 11.093 3.637
Hg -2.390 7.713 7.016
Hg -4.516 9.839 5.212
Hg 0.440 9.289 5.762
Hg -1.686 2.940 12.668
Hg 5.762 8.592 7.016
```

Computed properties:
DFT total energy, eV/cell: -87.4
V, Å³/cell: 2167
Magnetic moment, μB/cell: 0.0
E_form, eV/atom: 0.25

***

The following is a DFT calculation (PBE) of a geometry-optimized CdCuHg2 structure. Values from VASP.

Structure (Quantum ESPRESSO input):
```
&SYSTEM
  ibrav = 0, nat = 8, ntyp = 3
/
ATOMIC_SPECIES
Cd 112.41 Cd.upf
Cu 63.55 Cu.upf
Hg 200.59 Hg.upf
CELL_PARAMETERS angstrom
10.723 0.000 0.000
0.000 3.104 0.000
-2.322 0.000 5.029
ATOMIC_POSITIONS angstrom
Cd 0.000 0.000 0.000
Cd 5.362 1.552 0.000
Cu -1.161 1.552 2.515
Cu 4.201 0.000 2.515
Hg 0.722 0.000 3.655
Hg 2.318 1.552 1.374
Hg 6.083 1.552 3.655
Hg 7.680 0.000 1.374
```

Computed properties:
DFT total energy, eV/cell: -9.9
V, Å³/cell: 167
Magnetic moment, μB/cell: 0.0
E_form, eV/atom: 0.16

***

The following is a DFT calculation (PBE) of a geometry-optimized CdCuHg3 structure. Values from VASP.

Structure (Quantum ESPRESSO input):
```
&SYSTEM
  ibrav = 0, nat = 5, ntyp = 3
/
ATOMIC_SPECIES
Cd 112.41 Cd.upf
Cu 63.55 Cu.upf
Hg 200.59 Hg.upf
CELL_PARAMETERS angstrom
5.209 0.000 0.000
0.000 5.209 0.000
0.000 0.000 5.209
ATOMIC_POSITIONS angstrom
Cd 0.000 0.000 0.000
Cu 2.605 2.605 2.605
Hg 0.000 2.605 2.605
Hg 2.605 0.000 2.605
Hg 2.605 2.605 0.000
```

Computed properties:
DFT total energy, eV/cell: -5.1
V, Å³/cell: 141
Magnetic moment, μB/cell: 0.0
E_form, eV/atom: 0.17

***

The following is a DFT calculation (PBE) of a geometry-optimized Cd2CuHg4 structure. Values from VASP.

Structure (Quantum ESPRESSO input):
```
&SYSTEM
  ibrav = 0, nat = 14, ntyp = 3
/
ATOMIC_SPECIES
Cd 112.41 Cd.upf
Cu 63.55 Cu.upf
Hg 200.59 Hg.upf
CELL_PARAMETERS angstrom
5.282 0.000 0.000
0.000 5.282 0.000
0.000 0.000 14.208
ATOMIC_POSITIONS angstrom
Cd 0.000 0.000 1.652
Cd 0.000 0.000 12.556
Cd 2.641 2.641 5.452
Cd 2.641 2.641 8.755
Cu 0.000 0.000 7.104
Cu 2.641 2.641 0.000
Hg 0.000 0.000 4.487
Hg 0.000 0.000 9.720
Hg 0.000 2.641 0.000
Hg 0.000 2.641 7.104
Hg 2.641 0.000 0.000
Hg 2.641 0.000 7.104
Hg 2.641 2.641 2.617
Hg 2.641 2.641 11.591
```

Computed properties:
DFT total energy, eV/cell: -12.2
V, Å³/cell: 396
Magnetic moment, μB/cell: 0.0
E_form, eV/atom: 0.15

***

The following is a DFT calculation (PBE) of a geometry-optimized Cd4CuHg structure. Values from VASP.

Structure (Quantum ESPRESSO input):
```
&SYSTEM
  ibrav = 0, nat = 6, ntyp = 3
/
ATOMIC_SPECIES
Cd 112.41 Cd.upf
Cu 63.55 Cu.upf
Hg 200.59 Hg.upf
CELL_PARAMETERS angstrom
0.000 4.061 4.061
4.061 0.000 4.061
4.061 4.061 0.000
ATOMIC_POSITIONS angstrom
Cd 1.012 1.012 1.012
Cd 3.050 3.050 1.012
Cd 3.050 1.012 3.050
Cd 1.012 3.050 3.050
Cu 6.092 6.092 6.092
Hg 4.061 4.061 4.061
```

Computed properties:
DFT total energy, eV/cell: -6.4
V, Å³/cell: 134
Magnetic moment, μB/cell: 0.0
E_form, eV/atom: 0.28

***

The following is a DFT calculation (PBE) of a geometry-optimized CdCuHg2 structure. Values from VASP.

Structure (Quantum ESPRESSO input):
```
&SYSTEM
  ibrav = 0, nat = 4, ntyp = 3
/
ATOMIC_SPECIES
Cd 112.41 Cd.upf
Cu 63.55 Cu.upf
Hg 200.59 Hg.upf
CELL_PARAMETERS angstrom
4.351 0.000 0.000
0.000 4.351 0.000
0.000 0.000 4.289
ATOMIC_POSITIONS angstrom
Cd 0.000 0.000 0.000
Cu 2.175 2.175 0.000
Hg 0.000 2.175 2.144
Hg 2.175 0.000 2.144
```

Computed properties:
DFT total energy, eV/cell: -4.9
V, Å³/cell: 81
Magnetic moment, μB/cell: 0.0
E_form, eV/atom: 0.19

***

The following is a DFT calculation (PBE) of a geometry-optimized CdCuHg2 structure. Values from VASP.

Structure (Quantum ESPRESSO input):
```
&SYSTEM
  ibrav = 0, nat = 8, ntyp = 3
/
ATOMIC_SPECIES
Cd 112.41 Cd.upf
Cu 63.55 Cu.upf
Hg 200.59 Hg.upf
CELL_PARAMETERS angstrom
4.378 0.000 0.000
0.000 4.378 0.000
0.000 0.000 8.435
ATOMIC_POSITIONS angstrom
Cd 0.000 0.000 0.000
Cd 2.189 2.189 4.217
Cu 0.000 0.000 4.217
Cu 2.189 2.189 0.000
Hg 0.000 2.189 2.109
Hg 0.000 2.189 6.326
Hg 2.189 0.000 2.109
Hg 2.189 0.000 6.326
```

Computed properties:
DFT total energy, eV/cell: -9.7
V, Å³/cell: 162
Magnetic moment, μB/cell: 0.0
E_form, eV/atom: 0.19

***

The following is a DFT calculation (PBE) of a geometry-optimized CdCuHg3 structure. Values from VASP.

Structure (Quantum ESPRESSO input):
```
&SYSTEM
  ibrav = 0, nat = 5, ntyp = 3
/
ATOMIC_SPECIES
Cd 112.41 Cd.upf
Cu 63.55 Cu.upf
Hg 200.59 Hg.upf
CELL_PARAMETERS angstrom
5.566 0.000 0.000
0.000 5.566 0.000
0.000 0.000 5.566
ATOMIC_POSITIONS angstrom
Cd 0.000 0.000 0.000
Cu 2.783 2.783 2.783
Hg 0.000 0.000 2.783
Hg 0.000 2.783 0.000
Hg 2.783 0.000 0.000
```

Computed properties:
DFT total energy, eV/cell: -2.9
V, Å³/cell: 172
Magnetic moment, μB/cell: 0.0
E_form, eV/atom: 0.60